[1]
Density functional theory data (GGA-PBE) for an optimized crystal structure of K2PaO4.

abc: 6.756 6.756 3.613
angles: 90.00 90.00 105.81
Positions (direct):
K 0.000 0.500 0.000
K 0.500 0.000 0.000
Pa 0.000 0.000 0.500
O 0.165 0.165 0.000
O 0.186 0.814 0.500
O 0.814 0.186 0.500
O 0.835 0.835 0.000

Calculated values
**Excess energy over the best structure of this formula in the dataset**: 5.36 kJ per mole of atoms
**Uncorrected energy**: -6.947 eV/atom
**Space group**: Cmmm
**Density of states at the Fermi level**: 4.15 states/eV/f.u.



[2]
Density functional theory data (GGA-PBE) for an optimized crystal structure of KPaO.

abc: 3.411 3.411 14.207
angles: 90.23 90.23 90.00
Positions (direct):
K 0.243 0.243 0.148
K 0.757 0.757 0.852
Pa 0.252 0.252 0.586
Pa 0.748 0.748 0.414
O 0.248 0.248 0.407
O 0.752 0.752 0.593

Calculated values
**Uncorrected energy**: -6.529 eV/atom
**Space group**: C2/m
**Density of states at the Fermi level**: 3.13 states/eV/f.u.



[3]
Density functional theory data (GGA-PBE) for an optimized crystal structure of K3Pa5O12.

abc: 12.567 12.567 12.567
angles: 109.47 109.47 109.47
Positions (direct):
K 0.125 0.250 0.375
K 0.125 0.375 0.750
K 0.250 0.375 0.125
K 0.250 0.875 0.625
K 0.375 0.125 0.250
K 0.375 0.750 0.125
K 0.625 0.250 0.875
K 0.625 0.875 0.750
K 0.750 0.125 0.375
K 0.750 0.625 0.875
K 0.875 0.625 0.250
K 0.875 0.750 0.625
Pa 0.000 0.000 0.000
Pa 0.000 0.000 0.500
Pa 0.000 0.500 0.000
Pa 0.000 0.500 0.500
Pa 0.125 0.750 0.875
Pa 0.125 0.875 0.250
Pa 0.250 0.125 0.875
Pa 0.250 0.625 0.375
Pa 0.375 0.250 0.625
Pa 0.375 0.625 0.750
Pa 0.500 0.000 0.000
Pa 0.500 0.000 0.500
Pa 0.500 0.500 0.000
Pa 0.500 0.500 0.500
Pa 0.625 0.375 0.250
Pa 0.625 0.750 0.375
Pa 0.750 0.375 0.625
Pa 0.750 0.875 0.125
Pa 0.875 0.125 0.750
Pa 0.875 0.250 0.125
O 0.008 0.183 0.113
O 0.008 0.325 0.895
O 0.070 0.683 0.675
O 0.070 0.887 0.395
O 0.105 0.613 0.430
O 0.105 0.992 0.675
O 0.113 0.008 0.183
O 0.113 0.605 0.930
O 0.175 0.183 0.570
O 0.175 0.492 0.605
O 0.183 0.113 0.008
O 0.183 0.570 0.175
O 0.317 0.325 0.930
O 0.317 0.492 0.387
O 0.325 0.895 0.008
O 0.325 0.930 0.317
O 0.387 0.317 0.492
O 0.387 0.570 0.895
O 0.395 0.070 0.887
O 0.395 0.825 0.508
O 0.430 0.105 0.613
O 0.430 0.825 0.817
O 0.492 0.387 0.317
O 0.492 0.605 0.175
O 0.508 0.395 0.825
O 0.508 0.613 0.683
O 0.570 0.175 0.183
O 0.570 0.895 0.387
O 0.605 0.175 0.492
O 0.605 0.930 0.113
O 0.613 0.430 0.105
O 0.613 0.683 0.508
O 0.675 0.070 0.683
O 0.675 0.105 0.992
O 0.683 0.508 0.613
O 0.683 0.675 0.070
O 0.817 0.430 0.825
O 0.817 0.887 0.992
O 0.825 0.508 0.395
O 0.825 0.817 0.430
O 0.887 0.395 0.070
O 0.887 0.992 0.817
O 0.895 0.008 0.325
O 0.895 0.387 0.570
O 0.930 0.113 0.605
O 0.930 0.317 0.325
O 0.992 0.675 0.105
O 0.992 0.817 0.887

Calculated values
**Uncorrected energy**: -8.515 eV/atom
**Space group**: Ia-3d
**Density of states at the Fermi level**: 9.49 states/eV/f.u.



[4]
Density functional theory data (GGA-PBE) for an optimized crystal structure of K3PaO4.

abc: 5.985 5.985 5.985
angles: 109.47 109.47 109.47
Positions (direct):
K 0.000 0.500 0.500
K 0.500 0.000 0.500
K 0.500 0.500 0.000
Pa 0.000 0.000 0.000
O 0.000 0.000 0.347
O 0.000 0.347 0.000
O 0.347 0.000 0.000
O 0.653 0.653 0.653

Calculated values
**Excess energy over the best structure of this formula in the dataset**: 26.98 kJ per mole of atoms
**Uncorrected energy**: -6.265 eV/atom
**Space group**: I-43m
**Density of states at the Fermi level**: 0.00 states/eV/f.u.



[5]
Density functional theory data (GGA-PBE) for an optimized crystal structure of K12PaO7.

abc: 9.284 9.284 9.284
angles: 108.07 108.07 108.07
Positions (direct):
K 0.074 0.727 0.199
K 0.176 0.367 0.422
K 0.199 0.074 0.727
K 0.273 0.801 0.926
K 0.367 0.422 0.176
K 0.422 0.176 0.367
K 0.578 0.824 0.633
K 0.633 0.578 0.824
K 0.727 0.199 0.074
K 0.801 0.926 0.273
K 0.824 0.633 0.578
K 0.926 0.273 0.801
Pa 0.000 0.000 0.000
O 0.028 0.264 0.087
O 0.087 0.028 0.264
O 0.264 0.087 0.028
O 0.500 0.500 0.500
O 0.736 0.913 0.972
O 0.913 0.972 0.736
O 0.972 0.736 0.913

Calculated values
**Uncorrected energy**: -4.317 eV/atom
**Space group**: R-3
**Density of states at the Fermi level**: 5.71 states/eV/f.u.



[6]
Density functional theory data (GGA-PBE) for an optimized crystal structure of K2PaO4.

abc: 14.230 14.230 14.230
angles: 154.51 154.51 36.36
Positions (direct):
K 0.049 0.299 0.750
K 0.201 0.451 0.750
K 0.299 0.049 0.250
K 0.451 0.201 0.250
K 0.549 0.799 0.750
K 0.701 0.951 0.750
K 0.799 0.549 0.250
K 0.951 0.701 0.250
Pa 0.125 0.875 0.250
Pa 0.375 0.625 0.750
Pa 0.625 0.375 0.250
Pa 0.875 0.125 0.750
O 0.050 0.800 0.250
O 0.121 0.871 0.741
O 0.129 0.371 0.250
O 0.200 0.950 0.250
O 0.300 0.550 0.750
O 0.371 0.621 0.241
O 0.379 0.121 0.750
O 0.450 0.700 0.750
O 0.550 0.300 0.250
O 0.621 0.879 0.250
O 0.629 0.379 0.759
O 0.700 0.450 0.250
O 0.800 0.050 0.750
O 0.871 0.629 0.750
O 0.879 0.129 0.259
O 0.950 0.200 0.750

Calculated values
**Excess energy over the best structure of this formula in the dataset**: 0.00 kJ per mole of atoms
**Uncorrected energy**: -7.003 eV/atom
**Space group**: I4_1/acd
**Density of states at the Fermi level**: 3.42 states/eV/f.u.



[7]
Density functional theory data (GGA-PBE) for an optimized crystal structure of K4Pa3O10.

abc: 15.903 15.903 15.903
angles: 164.13 164.13 22.52
Positions (direct):
K 0.070 0.070 0.000
K 0.209 0.209 0.000
K 0.791 0.791 0.000
K 0.930 0.930 0.000
Pa 0.360 0.360 0.000
Pa 0.500 0.500 0.000
Pa 0.640 0.640 0.000
O 0.000 0.500 0.500
O 0.138 0.638 0.500
O 0.295 0.295 0.000
O 0.362 0.862 0.500
O 0.431 0.431 0.000
O 0.500 0.000 0.500
O 0.569 0.569 0.000
O 0.638 0.138 0.500
O 0.705 0.705 0.000
O 0.862 0.362 0.500

Calculated values
**Uncorrected energy**: -7.723 eV/atom
**Space group**: I4/mmm
**Density of states at the Fermi level**: 9.47 states/eV/f.u.



[8]
Density functional theory data (GGA-PBE) for an optimized crystal structure of K3PaO4.

abc: 6.658 6.658 3.653
angles: 90.00 90.00 111.96
Positions (direct):
K 0.000 0.000 0.000
K 0.000 0.500 0.500
K 0.500 0.000 0.500
Pa 0.500 0.500 0.000
O 0.303 0.303 0.500
O 0.314 0.686 0.000
O 0.686 0.314 0.000
O 0.697 0.697 0.500

Calculated values
**Excess energy over the best structure of this formula in the dataset**: 0.00 kJ per mole of atoms
**Uncorrected energy**: -6.544 eV/atom
**Space group**: Cmmm
**Density of states at the Fermi level**: 0.00 states/eV/f.u.